No. 1
# CuIrRh2

CuIrRh2 at its PBEsol-relaxed geometry (SCAN, Alexandria).

Unit cell a=2.675 b=3.732 c=5.285 alpha=90.00 beta=90.00 gamma=90.00
Sites, in units of the cell vectors:
Cu (0.000, 0.000, 0.499)
Ir (0.500, 0.500, 0.749)
Rh (0.000, 0.000, 0.997)
Rh (0.500, 0.500, 0.255)

Properties
- Spin magnetization: 0.00 μB/f.u.
- E: -153.63 eV/cell
- Energy relative to the lowest polymorph listed for this composition: 4.94 kJ/mol of atoms
- DFT formation energy: 54 meV per atom

***

No. 2
# CuIrRh2

CuIrRh2 at its PBEsol-relaxed geometry (SCAN, Alexandria).

Unit cell a=2.661 b=4.602 c=4.602 alpha=109.68 beta=90.00 gamma=90.00
Sites, in units of the cell vectors:
Rh (0.000, 0.500, 0.000)
Rh (0.000, 0.000, 0.500)
Cu (0.500, 0.000, 0.000)
Ir (0.500, 0.500, 0.500)

Properties
- Spin magnetization: 0.90 μB/f.u.
- E: -153.60 eV/cell
- Energy relative to the lowest polymorph listed for this composition: 5.63 kJ/mol of atoms
- DFT formation energy: 61 meV per atom

***

No. 3
# CuIrRh2

CuIrRh2 at its PBEsol-relaxed geometry (SCAN, Alexandria).

Unit cell a=2.686 b=3.728 c=5.269 alpha=90.00 beta=89.99 gamma=90.00
Sites, in units of the cell vectors:
Rh (0.000, 0.000, 0.248)
Rh (0.000, 0.000, 0.752)
Ir (0.500, 0.500, 0.500)
Cu (0.500, 0.500, 0.000)

Properties
- Spin magnetization: 0.00 μB/f.u.
- E: -153.76 eV/cell
- Energy relative to the lowest polymorph listed for this composition: 1.80 kJ/mol of atoms
- DFT formation energy: 21 meV per atom

***

No. 4
# CuIrRh2

CuIrRh2 at its PBEsol-relaxed geometry (SCAN, Alexandria).

Unit cell a=3.738 b=3.738 c=4.604 alpha=113.95 beta=113.95 gamma=90.00
Sites, in units of the cell vectors:
Ir (0.250, 0.750, 0.500)
Rh (0.750, 0.250, 0.500)
Rh (0.000, 0.000, 0.000)
Cu (0.500, 0.500, 0.000)

Properties
- Spin magnetization: 0.00 μB/f.u.
- E: -153.68 eV/cell
- Energy relative to the lowest polymorph listed for this composition: 3.64 kJ/mol of atoms
- DFT formation energy: 40 meV per atom

***

No. 5
# CuIrRh2

CuIrRh2 at its PBEsol-relaxed geometry (SCAN, Alexandria).

Unit cell a=2.678 b=4.586 c=4.575 alpha=99.76 beta=107.02 gamma=90.00
Sites, in units of the cell vectors:
Rh (0.001, 0.006, 0.003)
Rh (0.251, 0.743, 0.503)
Cu (0.499, 0.503, 0.998)
Ir (0.748, 0.247, 0.496)

Properties
- Spin magnetization: 0.00 μB/f.u.
- E: -153.78 eV/cell
- Energy relative to the lowest polymorph listed for this composition: 1.22 kJ/mol of atoms
- DFT formation energy: 15 meV per atom

***

No. 6
# CuIrRh

CuIrRh at its PBEsol-relaxed geometry (SCAN, Alexandria).

Unit cell a=2.664 b=2.664 c=6.417 alpha=90.00 beta=90.00 gamma=120.00
Sites, in units of the cell vectors:
Ir (0.333, 0.667, 0.669)
Rh (0.667, 0.333, 0.330)
Cu (0.000, 0.000, 0.001)

Properties
- Spin magnetization: 0.00 μB/f.u.
- E: -119.96 eV/cell
- Energy relative to the lowest polymorph listed for this composition: 0.00 kJ/mol of atoms
- DFT formation energy: 38 meV per atom

***

No. 7
# CuIrRh

CuIrRh at its PBEsol-relaxed geometry (SCAN, Alexandria).

Unit cell a=2.686 b=3.722 c=4.546 alpha=114.16 beta=107.18 gamma=90.00
Sites, in units of the cell vectors:
Cu (0.001, 0.001, 0.001)
Rh (0.333, 0.333, 0.665)
Ir (0.667, 0.667, 0.333)

Properties
- Spin magnetization: 0.01 μB/f.u.
- E: -119.85 eV/cell
- Energy relative to the lowest polymorph listed for this composition: 3.49 kJ/mol of atoms
- DFT formation energy: 74 meV per atom

***

No. 8
# CuIr2Rh

CuIr2Rh at its PBEsol-relaxed geometry (SCAN, Alexandria).

Unit cell a=2.695 b=3.741 c=5.295 alpha=90.00 beta=90.00 gamma=90.00
Sites, in units of the cell vectors:
Cu (0.500, 0.500, 0.748)
Ir (0.500, 0.500, 0.247)
Ir (0.000, 0.000, 0.999)
Rh (0.000, 0.000, 0.506)

Properties
- Spin magnetization: 0.00 μB/f.u.
- E: -191.03 eV/cell
- Energy relative to the lowest polymorph listed for this composition: 1.86 kJ/mol of atoms
- DFT formation energy: 34 meV per atom

***

No. 9
# CuIr2Rh

CuIr2Rh at its PBEsol-relaxed geometry (SCAN, Alexandria).

Unit cell a=3.754 b=3.754 c=4.623 alpha=113.95 beta=113.95 gamma=90.00
Sites, in units of the cell vectors:
Ir (0.750, 0.250, 0.500)
Ir (0.250, 0.750, 0.500)
Rh (0.500, 0.500, 0.000)
Cu (0.000, 0.000, 0.000)

Properties
- Spin magnetization: 0.00 μB/f.u.
- E: -190.93 eV/cell
- Energy relative to the lowest polymorph listed for this composition: 4.38 kJ/mol of atoms
- DFT formation energy: 60 meV per atom

***

No. 10
# CuIr2Rh

CuIr2Rh at its PBEsol-relaxed geometry (SCAN, Alexandria).

Unit cell a=2.687 b=4.587 c=4.608 alpha=99.76 beta=90.00 gamma=107.03
Sites, in units of the cell vectors:
Ir (0.248, 0.497, 0.253)
Ir (0.752, 0.503, 0.747)
Cu (0.000, 0.000, 0.500)
Rh (0.500, 0.000, 0.000)

Properties
- Spin magnetization: 0.00 μB/f.u.
- E: -191.11 eV/cell
- Energy relative to the lowest polymorph listed for this composition: 0.00 kJ/mol of atoms
- DFT formation energy: 15 meV per atom

***

No. 11
# CuIrRh2

CuIrRh2 at its PBEsol-relaxed geometry (SCAN, Alexandria).

Unit cell a=2.684 b=2.684 c=7.314 alpha=90.00 beta=90.00 gamma=90.00
Sites, in units of the cell vectors:
Cu (0.000, 0.000, 0.499)
Rh (0.500, 0.500, 0.254)
Rh (0.000, 0.000, 0.000)
Ir (0.500, 0.500, 0.747)

Properties
- Spin magnetization: 0.00 μB/f.u.
- E: -153.63 eV/cell
- Energy relative to the lowest polymorph listed for this composition: 4.80 kJ/mol of atoms
- DFT formation energy: 52 meV per atom

***

No. 12
# Cu2IrRh

Cu2IrRh at its PBEsol-relaxed geometry (SCAN, Alexandria).

Unit cell a=2.660 b=4.351 c=4.485 alpha=90.00 beta=90.00 gamma=90.00
Sites, in units of the cell vectors:
Cu (0.000, 0.000, 0.000)
Cu (0.500, 0.000, 0.500)
Ir (0.500, 0.500, 0.000)
Rh (0.000, 0.500, 0.500)

Properties
- Spin magnetization: 0.00 μB/f.u.
- E: -134.59 eV/cell
- Energy relative to the lowest polymorph listed for this composition: 12.61 kJ/mol of atoms
- DFT formation energy: 170 meV per atom

***

Among the records above, which one has the lowest E? number 10

***

The highest spin magnetization belongs to which entry? number 2

***

Which value of energy relative to the lowest polymorph listed for this composition does entry 10 give? 0.00 kJ/mol of atoms